# CaDyGa2Au2

An optimized crystal structure of CaDyGa2Au2 (PBE, Alexandria via LeMat-Bulk).

Results
The calculation puts the total energy at -3.95 eV per atom. The energy relative to the elements is -0.751 eV/atom.

Lattice parameters (Å, degrees): 4.5819 4.5819 7.1556 90.00 90.00 120.00
Closest atoms and distances in Å follow each position.
Space group P-3m1 (No. 164)
Inequivalent atoms, fractional coordinates:
Ca  0.0000  0.0000  0.0000  6 Ga 3.28, 6 Au 3.30, 2 Dy 3.58
Dy  0.0000  0.0000  0.5000  6 Au 3.10, 6 Ga 3.11
Ga  0.3333  0.6667  0.7288  3 Au 2.65
Au  0.3333  0.6667  0.2747  3 Ga 2.65